This record from Alexandria describes crystalline TaAlW3 at its relaxed geometry. The functional is GGA-PBE.

Cell: 4.7728 4.7728 4.7728 Å, 90.00 90.00 90.00°
With the nearest neighbours (Å) after each atom.
Fractional positions:
1 Ta 0.0000 0.0000 0.0000  6 W 2.39
2 Al 0.5000 0.5000 0.5000  12 W 3.37
3 W 0.0000 0.0000 0.5000  2 Ta 2.39
4 W 0.0000 0.5000 0.0000  2 Ta 2.39
5 W 0.5000 0.0000 0.0000  2 Ta 2.39

M_tot = 0.0 μB per formula unit
Formation energy = 2.255 eV per atom
VASP energy = -8.6364 eV/atom
SG = Pm-3m